Record 1
## HoAl3 (PBE-GGA)

Data for a relaxed HoAl3 crystal.

```
data_HoAl3
_chemical_formula_sum 'Ho2 Al6'
_cell_length_a 6.2286
_cell_length_b 6.2286
_cell_length_c 4.6364
_cell_angle_alpha 90.00
_cell_angle_beta 90.00
_cell_angle_gamma 120.00
_space_group_name_H-M_alt 'P 63/m m c'
_space_group_IT_number 194
_space_group_name_Hall '-P 6c 2c'
loop_
_atom_site_label
_atom_site_type_symbol
_atom_site_fract_x
_atom_site_fract_y
_atom_site_fract_z
_atom_site_occupancy
Ho1 Ho 0.3333 0.6667 0.2500 1
Al1 Al 0.1480 0.2960 0.7500 1
```

**VASP energy**: -0.161 hartree per atom

---

Record 2
## SrZnSn (PBE-GGA)

Data for a relaxed SrZnSn crystal.

```
data_SrZnSn
_chemical_formula_sum 'Sr2 Zn2 Sn2'
_cell_length_a 5.4368
_cell_length_b 5.4368
_cell_length_c 6.5827
_cell_angle_alpha 90.00
_cell_angle_beta 90.00
_cell_angle_gamma 120.00
_space_group_name_H-M_alt 'P 63/m m c'
_space_group_IT_number 194
_space_group_name_Hall '-P 6c 2c'
loop_
_atom_site_label
_atom_site_type_symbol
_atom_site_fract_x
_atom_site_fract_y
_atom_site_fract_z
_atom_site_occupancy
Sr1 Sr 0.3333 0.6667 0.2500 1
Zn1 Zn 0.0000 0.0000 0.0000 1
Sn1 Sn 0.3333 0.6667 0.7500 1
```

**VASP energy**: -0.091 hartree per atom

---

Record 3
## Li2Nb2SeS3 (PBE-GGA)

Data for a relaxed Li2Nb2SeS3 crystal.

```
data_Li2Nb2SeS3
_chemical_formula_sum 'Li2 Nb2 Se1 S3'
_cell_length_a 3.4063
_cell_length_b 3.4063
_cell_length_c 13.0722
_cell_angle_alpha 90.00
_cell_angle_beta 90.00
_cell_angle_gamma 120.00
_space_group_name_H-M_alt 'P 3 m 1'
_space_group_IT_number 156
_space_group_name_Hall 'P 3 -2"'
loop_
_atom_site_label
_atom_site_type_symbol
_atom_site_fract_x
_atom_site_fract_y
_atom_site_fract_z
_atom_site_occupancy
Li1 Li 0.0000 0.0000 0.0000 1
Li2 Li 0.0000 0.0000 0.4892 1
Nb1 Nb 0.0000 0.0000 0.2480 1
Nb2 Nb 0.0000 0.0000 0.7566 1
Se1 Se 0.3333 0.6667 0.6255 1
S1 S 0.3333 0.6667 0.8759 1
S2 S 0.6667 0.3333 0.1282 1
S3 S 0.6667 0.3333 0.3681 1
```

**VASP energy**: -0.229 hartree per atom

---

Record 4
## Lu4BiN3 (PBE-GGA)

Data for a relaxed Lu4BiN3 crystal.

```
data_Lu4BiN3
_chemical_formula_sum 'Lu8 Bi2 N6'
_cell_length_a 3.4257
_cell_length_b 3.4257
_cell_length_c 25.6904
_cell_angle_alpha 90.00
_cell_angle_beta 90.00
_cell_angle_gamma 120.00
_space_group_name_H-M_alt 'P 63/m m c'
_space_group_IT_number 194
_space_group_name_Hall '-P 6c 2c'
loop_
_atom_site_label
_atom_site_type_symbol
_atom_site_fract_x
_atom_site_fract_y
_atom_site_fract_z
_atom_site_occupancy
Lu1 Lu 0.0000 0.0000 0.1526 1
Lu2 Lu 0.3333 0.6667 0.0508 1
Bi1 Bi 0.3333 0.6667 0.2500 1
N1 N 0.0000 0.0000 0.0000 1
N2 N 0.3333 0.6667 0.6084 1
```

**VASP energy**: -0.271 hartree per atom

---

Record 5
## LuBTe (PBE-GGA)

Data for a relaxed LuBTe crystal.

```
data_LuBTe
_chemical_formula_sum 'Lu4 B4 Te4'
_cell_length_a 6.714
_cell_length_b 6.714
_cell_length_c 6.714
_cell_angle_alpha 90.00
_cell_angle_beta 90.00
_cell_angle_gamma 90.00
_space_group_name_H-M_alt 'F -4 3 m'
_space_group_IT_number 216
_space_group_name_Hall 'F -4 2 3'
loop_
_atom_site_label
_atom_site_type_symbol
_atom_site_fract_x
_atom_site_fract_y
_atom_site_fract_z
_atom_site_occupancy
Lu1 Lu 0.000 0.000 0.000 1
B1 B 0.000 0.000 0.500 1
Te1 Te 0.250 0.250 0.750 1
```

**Energy relative to the lowest polymorph listed for this composition**: 419 meV per atom

---

Record 6
## HoPaAs (PBE-GGA)

Data for a relaxed HoPaAs crystal.

```
data_HoPaAs
_chemical_formula_sum 'Ho4 Pa4 As4'
_cell_length_a 7.028
_cell_length_b 7.028
_cell_length_c 7.028
_cell_angle_alpha 90.00
_cell_angle_beta 90.00
_cell_angle_gamma 90.00
_space_group_name_H-M_alt 'F -4 3 m'
_space_group_IT_number 216
_space_group_name_Hall 'F -4 2 3'
loop_
_atom_site_label
_atom_site_type_symbol
_atom_site_fract_x
_atom_site_fract_y
_atom_site_fract_z
_atom_site_occupancy
Ho1 Ho 0.000 0.000 0.000 1
Pa1 Pa 0.250 0.250 0.750 1
As1 As 0.000 0.000 0.500 1
```

**VASP energy**: -0.209 hartree per atom

---

What did the third record say?
## Li2Nb2SeS3 (PBE-GGA)

Data for a relaxed Li2Nb2SeS3 crystal.

```
data_Li2Nb2SeS3
_chemical_formula_sum 'Li2 Nb2 Se1 S3'
_cell_length_a 3.4063
_cell_length_b 3.4063
_cell_length_c 13.0722
_cell_angle_alpha 90.00
_cell_angle_beta 90.00
_cell_angle_gamma 120.00
_space_group_name_H-M_alt 'P 3 m 1'
_space_group_IT_number 156
_space_group_name_Hall 'P 3 -2"'
loop_
_atom_site_label
_atom_site_type_symbol
_atom_site_fract_x
_atom_site_fract_y
_atom_site_fract_z
_atom_site_occupancy
Li1 Li 0.0000 0.0000 0.0000 1
Li2 Li 0.0000 0.0000 0.4892 1
Nb1 Nb 0.0000 0.0000 0.2480 1
Nb2 Nb 0.0000 0.0000 0.7566 1
Se1 Se 0.3333 0.6667 0.6255 1
S1 S 0.3333 0.6667 0.8759 1
S2 S 0.6667 0.3333 0.1282 1
S3 S 0.6667 0.3333 0.3681 1
```

**VASP energy**: -0.229 hartree per atom

---

Question: Which formula does entry 6 have?
Answer: HoPaAs